Material: MgZrW
Method: DFT, PBE-GGA
State: optimized geometry

Computed properties:
* formation energy: 348 meV/atom
* E_tot: -0.540 Ry/atom
* D(E_F): 3.2 states/eV/cell
* crystal system: orthorhombic

a b c (Å): 5.2730 5.2730 5.2730
angles (deg): 149.72 128.29 61.10
Sites, in units of the cell vectors:
Mg1 0.9953 0.9953 0.0000
W1 0.3346 0.3346 0.0000
Zr1 0.6701 0.6701 0.0000